[1]
Computed, not measured: an optimized crystal structure of Sc4Te2PbSe at the PBE level of DFT.

Computed properties:
* crystal system: monoclinic
* formation energy (no corrections): -1050 meV/atom
* SG: No. 10

a = 7.1354 Å, b = 4.0945 Å, c = 7.1431 Å
α = 90.00°, β = 109.28°, γ = 90.00°
Last column: nearest neighbours and their distance in Å.
Fractional positions:
Sc 0.2242 0.0000 0.2296  2 Se 2.78, 1 Pb 2.89, 3 Te 2.95-3.05
Sc 0.2363 0.5000 0.7561  1 Se 2.80, 2 Pb 2.89, 3 Te 2.93-3.03
Sc 0.7637 0.5000 0.2439  1 Se 2.80, 2 Pb 2.89, 3 Te 2.93-3.03
Sc 0.7758 0.0000 0.7704  2 Se 2.78, 1 Pb 2.89, 3 Te 2.95-3.05
Te 0.5000 0.0000 0.0000  6 Sc 2.93-2.95
Te 0.5000 0.5000 0.5000  6 Sc 3.03-3.05
Pb 0.0000 0.0000 0.5000  6 Sc 2.89
Se 0.0000 0.5000 0.0000  6 Sc 2.78-2.80

[2]
Computed, not measured: an optimized crystal structure of HgSb3Pb4 at the PBE level of DFT.

Computed properties:
* crystal system: monoclinic
* formation energy (no corrections): 22 meV/atom
* SG: No. 12

a = 14.8781 Å, b = 4.5727 Å, c = 8.1059 Å
α = 90.00°, β = 100.24°, γ = 90.00°
Last column: nearest neighbours and their distance in Å.
Fractional positions:
Hg 0.0000 0.0000 0.0000  6 Pb 3.44-3.58
Hg 0.5000 0.5000 0.0000  6 Pb 3.44-3.58
Sb 0.0000 0.5000 0.5000  6 Pb 3.16
Sb 0.2400 0.5000 0.2390  6 Pb 3.08-3.28
Sb 0.2600 0.0000 0.7610  6 Pb 3.08-3.28
Sb 0.5000 0.0000 0.5000  6 Pb 3.16
Sb 0.7400 0.0000 0.2390  6 Pb 3.08-3.28
Sb 0.7600 0.5000 0.7610  6 Pb 3.08-3.28
Pb 0.1313 0.0000 0.4151  5 Sb 3.10-3.27
Pb 0.1368 0.5000 0.8461  4 Sb 3.08-3.28, 2 Hg 3.44
Pb 0.3632 0.0000 0.1539  4 Sb 3.08-3.28, 2 Hg 3.44
Pb 0.3687 0.5000 0.5849  5 Sb 3.10-3.27
Pb 0.6313 0.5000 0.4151  5 Sb 3.10-3.27
Pb 0.6368 0.0000 0.8461  4 Sb 3.08-3.28, 2 Hg 3.44
Pb 0.8632 0.5000 0.1539  4 Sb 3.08-3.28, 2 Hg 3.44
Pb 0.8687 0.0000 0.5849  5 Sb 3.10-3.27

[3]
Computed, not measured: an optimized crystal structure of Nd3Dy3Er4 at the PBE level of DFT.

Computed properties:
* crystal system: orthorhombic
* energy of formation: 0.10 eV per atom
* SG: No. 38

a = 3.6724 Å, b = 9.4461 Å, c = 9.4461 Å
α = 89.74°, β = 90.00°, γ = 90.00°
Last column: nearest neighbours and their distance in Å.
Fractional positions:
Nd 0.0000 0.0000 0.0000  6 Er 3.27-3.41
Nd 0.0000 0.4985 0.8476  6 Er 3.26-3.40
Nd 0.0000 0.8476 0.4985  6 Er 3.26-3.40
Dy 0.0000 0.3480 0.3480  6 Er 3.25-3.37
Dy 0.5000 0.1753 0.6686  4 Dy 3.67-3.89, 4 Er 3.68-3.82, 6 Nd 3.95-3.98
Dy 0.5000 0.6686 0.1753  4 Dy 3.67-3.89, 4 Er 3.68-3.82, 6 Nd 3.95-3.98
Er 0.5000 0.0524 0.2996  4 Nd 3.26-3.41, 1 Er 3.30, 2 Dy 3.37
Er 0.5000 0.2996 0.0524  4 Nd 3.26-3.41, 1 Er 3.30, 2 Dy 3.37
Er 0.5000 0.5479 0.5479  2 Dy 3.25, 1 Er 3.35, 4 Nd 3.40
Er 0.5000 0.7980 0.7980  6 Nd 3.27-3.40, 1 Er 3.35

[4]
Computed, not measured: an optimized crystal structure of Y4ThZn5 at the PBE level of DFT.

Computed properties:
* crystal system: tetragonal
* energy of formation: -0.32 eV per atom
* SG: No. 123

a = 3.5887 Å, b = 3.5887 Å, c = 18.0792 Å
α = 90.00°, β = 90.00°, γ = 90.00°
Last column: nearest neighbours and their distance in Å.
Fractional positions:
Y 0.0000 0.0000 0.0987  8 Zn 3.10-3.11
Y 0.0000 0.0000 0.2961  8 Zn 3.07-3.10
Y 0.0000 0.0000 0.7039  8 Zn 3.07-3.10
Y 0.0000 0.0000 0.9013  8 Zn 3.10-3.11
Th 0.0000 0.0000 0.5000  8 Zn 3.21, 4 Th 3.59
Zn 0.5000 0.5000 0.0000  8 Y 3.10
Zn 0.5000 0.5000 0.1977  8 Y 3.10-3.11
Zn 0.5000 0.5000 0.3916  4 Y 3.07, 4 Th 3.21
Zn 0.5000 0.5000 0.6084  4 Y 3.07, 4 Th 3.21
Zn 0.5000 0.5000 0.8023  8 Y 3.10-3.11

[5]
Computed, not measured: an optimized crystal structure of Cs2BeSe2 at the PBE level of DFT.

Computed properties:
* excess energy over the best structure of this formula in the dataset: 0.000 eV per atom
* crystal system: monoclinic
* formation energy (no corrections): -1037 meV/atom
* SG: No. 12

a = 8.4065 Å, b = 8.4065 Å, c = 10.8468 Å
α = 128.13°, β = 128.13°, γ = 49.91°
Last column: nearest neighbours and their distance in Å.
Fractional positions:
Cs 0.1267 0.1267 0.4474  4 Se 3.49-3.59
Cs 0.2784 0.2784 0.1801  5 Se 3.49-3.84
Cs 0.7216 0.7216 0.8199  5 Se 3.49-3.84
Cs 0.8733 0.8733 0.5526  4 Se 3.49-3.59
Be 0.4680 0.4680 0.8535  3 Se 2.11-2.20
Be 0.5320 0.5320 0.1465  3 Se 2.11-2.20
Se 0.3477 0.3477 0.8994  2 Be 2.20
Se 0.4205 0.4205 0.6195  1 Be 2.11
Se 0.5795 0.5795 0.3805  1 Be 2.11
Se 0.6523 0.6523 0.1006  2 Be 2.20

[6]
Computed, not measured: an optimized crystal structure of K3Pm3ErS8 at the PBE level of DFT.

Computed properties:
* crystal system: trigonal
* formation energy (no corrections): -1765 meV/atom
* SG: No. 166

a = 8.8639 Å, b = 8.8639 Å, c = 8.8639 Å
α = 55.29°, β = 55.29°, γ = 55.29°
Last column: nearest neighbours and their distance in Å.
Fractional positions:
K 0.0000 0.5000 0.5000  6 S 3.23-3.25
K 0.5000 0.0000 0.5000  6 S 3.23-3.25
K 0.5000 0.5000 0.0000  6 S 3.23-3.25
Pm 0.0000 0.0000 0.5000  6 S 2.83
Pm 0.0000 0.5000 0.0000  6 S 2.83
Pm 0.5000 0.0000 0.0000  6 S 2.83
Er 0.5000 0.5000 0.5000  6 S 2.74
S 0.2355 0.2355 0.2355  3 Pm 2.83
S 0.2426 0.7275 0.7275  1 Er 2.74, 2 Pm 2.83
S 0.2725 0.2725 0.7574  1 Er 2.74, 2 Pm 2.83
S 0.2725 0.7574 0.2725  1 Er 2.74, 2 Pm 2.83
S 0.7275 0.2426 0.7275  1 Er 2.74, 2 Pm 2.83
S 0.7275 0.7275 0.2426  1 Er 2.74, 2 Pm 2.83
S 0.7574 0.2725 0.2725  1 Er 2.74, 2 Pm 2.83
S 0.7645 0.7645 0.7645  3 Pm 2.83

[7]
Computed, not measured: an optimized crystal structure of Co2CuTe at the PBE level of DFT.

Computed properties:
* crystal system: tetragonal
* formation energy (no corrections): 272 meV/atom
* SG: No. 123

a = 3.9183 Å, b = 3.9183 Å, c = 3.5590 Å
α = 90.00°, β = 90.00°, γ = 90.00°
Last column: nearest neighbours and their distance in Å.
Fractional positions:
Co 0.0000 0.5000 0.0000  4 Te 2.65, 4 Cu 2.65, 4 Co 2.77
Co 0.5000 0.0000 0.0000  4 Te 2.65, 4 Cu 2.65, 4 Co 2.77
Cu 0.0000 0.0000 0.5000  8 Co 2.65, 4 Te 2.77
Te 0.5000 0.5000 0.5000  8 Co 2.65, 4 Cu 2.77

[8]
Computed, not measured: an optimized crystal structure of MgZnP2 at the PBE level of DFT.

Computed properties:
* excess energy over the best structure of this formula in the dataset: 0.152 eV per atom
* crystal system: orthorhombic
* energy of formation: -0.01 eV per atom
* SG: No. 44

a = 3.1972 Å, b = 4.4264 Å, c = 9.3838 Å
α = 90.00°, β = 90.00°, γ = 90.00°
Last column: nearest neighbours and their distance in Å.
Fractional positions:
Mg 0.0000 0.0000 0.0000  8 P 2.77-3.06, 2 Zn 2.95
Mg 0.5000 0.5000 0.5000  8 P 2.77-3.06, 2 Zn 2.95
Zn 0.0000 0.5000 0.2081  6 P 2.80-2.88, 2 Mg 2.95
Zn 0.5000 0.0000 0.7081  6 P 2.80-2.88, 2 Mg 2.95
P 0.0000 0.0000 0.4533  2 P 2.32
P 0.0000 0.5000 0.7743  2 P 2.32
P 0.5000 0.0000 0.2743  2 P 2.32
P 0.5000 0.5000 0.9533  2 P 2.32

[9]
Computed, not measured: an optimized crystal structure of Cd4Hg2Pb at the PBE level of DFT.

Computed properties:
* excess energy over the best structure of this formula in the dataset: 0.000 eV per atom
* crystal system: trigonal
* energy of formation: 0.06 eV per atom
* SG: No. 166

a = 8.7410 Å, b = 8.7410 Å, c = 8.7410 Å
α = 33.02°, β = 33.02°, γ = 33.02°
Last column: nearest neighbours and their distance in Å.
Fractional positions:
Cd 0.0684 0.0684 0.0684  3 Hg 3.03, 4 Cd 3.08-3.39
Cd 0.3567 0.3567 0.3567  6 Cd 3.08-3.09, 1 Hg 3.25
Cd 0.6433 0.6433 0.6433  6 Cd 3.08-3.09, 1 Hg 3.25
Cd 0.9316 0.9316 0.9316  3 Hg 3.03, 4 Cd 3.08-3.39
Hg 0.2255 0.2255 0.2255  4 Cd 3.03-3.25, 3 Pb 3.22
Hg 0.7745 0.7745 0.7745  4 Cd 3.03-3.25, 3 Pb 3.22
Pb 0.5000 0.5000 0.5000  6 Hg 3.22, 2 Cd 3.55

[10]
Computed, not measured: an optimized crystal structure of YNpPa2N4 at the PBE level of DFT.

Computed properties:
* crystal system: monoclinic
* formation energy (no corrections): -1503 meV/atom
* SG: No. 10

a = 6.0260 Å, b = 3.4841 Å, c = 6.0535 Å
α = 90.00°, β = 109.49°, γ = 90.00°
Last column: nearest neighbours and their distance in Å.
Fractional positions:
Y 0.0000 0.0000 0.0000  6 N 2.47-2.49
Np 0.0000 0.5000 0.5000  6 N 2.48-2.49
Pa 0.5000 0.0000 0.5000  6 N 2.44-2.46
Pa 0.5000 0.5000 0.0000  6 N 2.45
N 0.2540 0.0000 0.7529  3 Pa 2.45-2.46, 1 Y 2.47, 2 Np 2.48
N 0.2568 0.5000 0.2528  3 Pa 2.44-2.45, 1 Np 2.49, 2 Y 2.49
N 0.7432 0.5000 0.7472  3 Pa 2.44-2.45, 1 Np 2.49, 2 Y 2.49
N 0.7460 0.0000 0.2471  3 Pa 2.45-2.46, 1 Y 2.47, 2 Np 2.48

[11]
Computed, not measured: an optimized crystal structure of LiTlS2 at the PBE level of DFT.

Computed properties:
* crystal system: triclinic
* formation energy (no corrections): -577 meV/atom
* SG: No. 1

a = 4.3491 Å, b = 6.5474 Å, c = 7.3882 Å
α = 79.43°, β = 80.28°, γ = 71.54°
Last column: nearest neighbours and their distance in Å.
Fractional positions:
Li 0.0000 0.0000 0.0000  4 S 2.39-2.61
Li 0.0306 0.3136 0.3583  4 S 2.42-2.62
Tl 0.3637 0.4035 0.7871  2 S 2.90-2.96
Tl 0.6954 0.8399 0.5678  3 S 2.98-3.21
S 0.0334 0.1339 0.6755  2 Li 2.39-2.42
S 0.4626 0.4989 0.3149  1 S 2.08
S 0.4648 0.0319 0.1641  1 S 2.13
S 0.4994 0.7287 0.0839  2 S 2.08-2.13

[12]
Computed, not measured: an optimized crystal structure of NaV2Cu at the PBE level of DFT.

Computed properties:
* excess energy over the best structure of this formula in the dataset: 0.000 eV per atom
* crystal system: cubic
* energy of formation: 1.01 eV per atom
* SG: No. 225

a = 6.1796 Å, b = 6.1796 Å, c = 6.1796 Å
α = 90.00°, β = 90.00°, γ = 90.00°
Last column: nearest neighbours and their distance in Å.
Fractional positions:
Na 0.0000 0.0000 0.0000  8 V 2.68
Na 0.0000 0.5000 0.5000  8 V 2.68
Na 0.5000 0.0000 0.5000  8 V 2.68
Na 0.5000 0.5000 0.0000  8 V 2.68
V 0.2500 0.2500 0.2500  4 Cu 2.68, 4 Na 2.68
V 0.2500 0.2500 0.7500  4 Na 2.68, 4 Cu 2.68
V 0.2500 0.7500 0.2500  4 Na 2.68, 4 Cu 2.68
V 0.2500 0.7500 0.7500  4 Cu 2.68, 4 Na 2.68
V 0.7500 0.2500 0.2500  4 Na 2.68, 4 Cu 2.68
V 0.7500 0.2500 0.7500  4 Cu 2.68, 4 Na 2.68
V 0.7500 0.7500 0.2500  4 Cu 2.68, 4 Na 2.68
V 0.7500 0.7500 0.7500  4 Na 2.68, 4 Cu 2.68
Cu 0.0000 0.0000 0.5000  8 V 2.68
Cu 0.0000 0.5000 0.0000  8 V 2.68
Cu 0.5000 0.0000 0.0000  8 V 2.68
Cu 0.5000 0.5000 0.5000  8 V 2.68

[13]
Computed, not measured: an optimized crystal structure of LiSmEu2 at the PBE level of DFT.

Computed properties:
* excess energy over the best structure of this formula in the dataset: 0.000 eV per atom
* crystal system: tetragonal
* energy of formation: 0.09 eV per atom
* SG: No. 123

a = 3.8418 Å, b = 3.8418 Å, c = 9.3837 Å
α = 90.00°, β = 90.00°, γ = 90.00°
Last column: nearest neighbours and their distance in Å.
Fractional positions:
Li 0.0000 0.0000 0.0000  8 Eu 3.44, 4 Li 3.84
Sm 0.0000 0.0000 0.5000  8 Eu 3.74, 4 Sm 3.84
Eu 0.5000 0.5000 0.2254  4 Li 3.44, 4 Sm 3.74, 4 Eu 3.84
Eu 0.5000 0.5000 0.7746  4 Li 3.44, 4 Sm 3.74, 4 Eu 3.84

[14]
Computed, not measured: an optimized crystal structure of Dy2Ni3As4Ru at the PBE level of DFT.

Computed properties:
* crystal system: tetragonal
* energy of formation: -0.75 eV per atom
* SG: No. 115

a = 4.1225 Å, b = 4.1225 Å, c = 9.7301 Å
α = 90.00°, β = 90.00°, γ = 90.00°
Last column: nearest neighbours and their distance in Å.
Fractional positions:
Dy 0.0000 0.5000 0.2463  8 As 3.12-3.16, 6 Ni 3.15-3.22, 2 Ru 3.22
Dy 0.5000 0.0000 0.7537  8 As 3.12-3.16, 6 Ni 3.15-3.22, 2 Ru 3.22
Ni 0.0000 0.5000 0.8777  5 As 2.31-2.38
Ni 0.5000 0.0000 0.1223  5 As 2.31-2.38
Ni 0.5000 0.5000 0.5000  4 As 2.47
As 0.0000 0.0000 0.0000  4 Ni 2.38
As 0.0000 0.5000 0.6400  3 Ni 2.31-2.47, 2 Ru 2.47
As 0.5000 0.0000 0.3600  3 Ni 2.31-2.47, 2 Ru 2.47
As 0.5000 0.5000 0.0000  4 Ni 2.38
Ru 0.0000 0.0000 0.5000  4 As 2.47

[15]
Computed, not measured: an optimized crystal structure of CaFeCl at the PBE level of DFT.

Computed properties:
* crystal system: cubic
* formation energy (no corrections): 168 meV/atom
* SG: No. 216

a = 6.9932 Å, b = 6.9932 Å, c = 6.9932 Å
α = 90.00°, β = 90.00°, γ = 90.00°
Last column: nearest neighbours and their distance in Å.
Fractional positions:
Ca 0.0000 0.0000 0.0000  4 Cl 3.03, 4 Fe 3.03
Ca 0.0000 0.5000 0.5000  4 Cl 3.03, 4 Fe 3.03
Ca 0.5000 0.0000 0.5000  4 Cl 3.03, 4 Fe 3.03
Ca 0.5000 0.5000 0.0000  4 Cl 3.03, 4 Fe 3.03
Fe 0.2500 0.2500 0.7500  4 Ca 3.03
Fe 0.2500 0.7500 0.2500  4 Ca 3.03
Fe 0.7500 0.2500 0.2500  4 Ca 3.03
Fe 0.7500 0.7500 0.7500  4 Ca 3.03
Cl 0.2500 0.2500 0.2500  4 Ca 3.03
Cl 0.2500 0.7500 0.7500  4 Ca 3.03
Cl 0.7500 0.2500 0.7500  4 Ca 3.03
Cl 0.7500 0.7500 0.2500  4 Ca 3.03

[16]
Computed, not measured: an optimized crystal structure of Cd3GaAu at the PBE level of DFT.

Computed properties:
* excess energy over the best structure of this formula in the dataset: 0.000 eV per atom
* crystal system: monoclinic
* energy of formation: -0.07 eV per atom
* SG: No. 12

a = 6.4480 Å, b = 6.4480 Å, c = 5.8358 Å
α = 105.97°, β = 105.97°, γ = 90.95°
Last column: nearest neighbours and their distance in Å.
Fractional positions:
Cd 0.0778 0.0778 0.2980  2 Au 2.86-2.89, 1 Ga 3.14, 5 Cd 3.15-3.18
Cd 0.0828 0.5728 0.3109  2 Au 2.84-2.85, 4 Cd 3.03-3.17, 2 Ga 3.09-3.17
Cd 0.4272 0.9172 0.6891  2 Au 2.84-2.85, 4 Cd 3.03-3.17, 2 Ga 3.09-3.17
Cd 0.5728 0.0828 0.3109  2 Au 2.84-2.85, 4 Cd 3.03-3.17, 2 Ga 3.09-3.17
Cd 0.9172 0.4272 0.6891  2 Au 2.84-2.85, 4 Cd 3.03-3.17, 2 Ga 3.09-3.17
Cd 0.9222 0.9222 0.7020  2 Au 2.86-2.89, 1 Ga 3.14, 5 Cd 3.15-3.18
Ga 0.4299 0.4299 0.7041  2 Au 2.66
Ga 0.5701 0.5701 0.2959  2 Au 2.66
Au 0.2610 0.2610 0.9886  2 Ga 2.66, 6 Cd 2.84-2.89
Au 0.7390 0.7390 0.0114  2 Ga 2.66, 6 Cd 2.84-2.89

[17]
Computed, not measured: an optimized crystal structure of BaLa2SnRu at the PBE level of DFT.

Computed properties:
* excess energy over the best structure of this formula in the dataset: 0.000 eV per atom
* crystal system: tetragonal
* energy of formation: -0.32 eV per atom
* SG: No. 123

a = 5.5164 Å, b = 5.5164 Å, c = 5.4783 Å
α = 90.00°, β = 90.00°, γ = 90.00°
Last column: nearest neighbours and their distance in Å.
Fractional positions:
Ba 0.0000 0.0000 0.0000  8 La 3.89, 4 Sn 3.90
La 0.0000 0.5000 0.5000  2 Ru 2.76
La 0.5000 0.0000 0.5000  2 Ru 2.76
Sn 0.5000 0.5000 0.0000  2 Ru 2.74
Ru 0.5000 0.5000 0.5000  2 Sn 2.74, 4 La 2.76

no.,calculated volume (Å³ per atom),D(E_F) (states/eV per cell)
1,24.62,4.2
2,33.92,5.4
3,32.77,7.8
4,23.28,11.2
5,42.94,0.0
6,29.24,12.4
7,13.66,4.7
8,16.60,2.6
9,25.21,4.0
10,14.98,8.8
11,24.35,0.0
12,14.75,15.9
13,34.62,9.4
14,16.54,4.0
15,28.50,35.8
16,22.31,3.2
17,33.34,3.3